(1)
{
  "formula": "Na2Zn2Cd",
  "functional": "PBEsol",
  "state": "optimized geometry",
  "dos_ef_per_ev_atom": 0.422,
  "lattice_angstrom": [[4.707, 0.000, 0.000], [0.000, 6.898, 0.000], [0.000, 0.000, 6.898]],
  "species": ["Zn", "Zn", "Zn", "Zn", "Cd", "Cd", "Na", "Na", "Na", "Na"],
  "frac_coords": [[0.000, 0.627, 0.127], [0.000, 0.873, 0.627], [0.000, 0.373, 0.873], [0.000, 0.127, 0.373], [0.000, 0.000, 0.000], [0.000, 0.500, 0.500], [0.500, 0.824, 0.324], [0.500, 0.176, 0.676], [0.500, 0.676, 0.824], [0.500, 0.324, 0.176]]
}

=====

(2)
{
  "formula": "NaZr3Cd",
  "functional": "PBEsol",
  "state": "optimized geometry",
  "dos_ef_per_ev_atom": 1.948,
  "lattice_angstrom": [[5.282, 0.000, 0.000], [0.000, 5.282, 0.000], [0.000, 0.000, 5.282]],
  "species": ["Zr", "Zr", "Zr", "Na", "Cd"],
  "frac_coords": [[0.000, 0.000, 0.500], [0.000, 0.500, 0.000], [0.500, 0.000, 0.000], [0.500, 0.500, 0.500], [0.000, 0.000, 0.000]]
}

=====

| no. | ΔE_f (eV/atom) |
| --- | --- |
| 1 | 0.06 |
| 2 | 1.20 |